No. 1
The following is a PBE calculation of an optimized crystal structure of ZrTiH2, from the Alexandria database.

Results
symmetry: Fm-3m, No. 225
raw total energy: -5.59 eV per atom

abc: 3.947 3.947 3.947
angles: 60.00 60.00 60.00
Fractional positions:
1 Zr 0.500 0.500 0.500
2 H 0.250 0.250 0.250
3 Ti 0.000 0.000 0.000
4 H 0.750 0.750 0.750


No. 2
The following is a PBE calculation of an optimized crystal structure of TlH, from the Alexandria database.

Results
symmetry: I-43m, No. 217
raw total energy: -2.47 eV per atom

abc: 8.323 8.323 8.323
angles: 90.00 90.00 90.00
Fractional positions:
1 H 0.114 0.114 0.114
2 H 0.614 0.386 0.386
3 H 0.386 0.386 0.614
4 Tl 0.653 0.347 0.653
5 Tl 0.847 0.153 0.153
6 H 0.114 0.886 0.886
7 Tl 0.653 0.653 0.347
8 H 0.386 0.614 0.386
9 Tl 0.153 0.153 0.847
10 Tl 0.347 0.653 0.653
11 Tl 0.153 0.847 0.153
12 Tl 0.847 0.847 0.847
13 H 0.886 0.886 0.114
14 H 0.614 0.614 0.614
15 H 0.886 0.114 0.886
16 Tl 0.347 0.347 0.347


No. 3
The following is a PBE calculation of an optimized crystal structure of TlH, from the Alexandria database.

Results
symmetry: P6_3/m, No. 176
raw total energy: -2.51 eV per atom

abc: 9.746 9.746 3.506
angles: 90.00 90.00 120.00
Fractional positions:
1 Tl 0.976 0.323 0.250
2 Tl 0.323 0.347 0.750
3 H 0.900 0.508 0.250
4 H 0.492 0.392 0.250
5 Tl 0.024 0.677 0.750
6 H 0.392 0.900 0.750
7 H 0.100 0.492 0.750
8 Tl 0.347 0.024 0.250
9 H 0.508 0.608 0.750
10 Tl 0.653 0.976 0.750
11 Tl 0.677 0.653 0.250
12 H 0.608 0.100 0.250


No. 4
The following is a PBE calculation of an optimized crystal structure of TlH4, from the Alexandria database.

Results
symmetry: Pm-3m, No. 221
raw total energy: -2.28 eV per atom

abc: 3.911 3.911 3.911
angles: 90.00 90.00 90.00
Fractional positions:
1 H 0.500 0.500 0.000
2 Tl 0.500 0.500 0.500
3 H 0.000 0.500 0.500
4 H 0.000 0.000 0.000
5 H 0.500 0.000 0.500


| no. | ΔE to the lowest computed polymorph (meV/atom) |
| --- | --- |
| 1 | 519 |
| 2 | 86 |
| 3 | 49 |
| 4 | 833 |